A relaxed Ac3Pm8Dy crystal, computed with PBE.

Properties
**Calculated total energy**: -48.55 eV per cell
**DOS(E_F)**: 17.256 states/eV per cell
**Spin magnetization**: 0.0 μB per formula unit
**Calculated density**: 6.8 g cm⁻³
**Space group**: No. 121

Cell: 8.719 8.719 8.719 Å, 96.41 116.37 116.37°
Sites, in units of the cell vectors:
Pm1 0.000 0.261 0.794
Pm2 0.246 0.363 0.363
Pm3 0.000 0.794 0.261
Pm4 0.000 0.883 0.637
Pm5 0.467 0.206 0.206
Pm6 0.533 0.739 0.739
Pm7 0.000 0.637 0.883
Pm8 0.754 0.117 0.117
Ac1 0.500 0.750 0.250
Ac2 0.500 0.250 0.750
Ac3 0.000 0.500 0.500
Dy1 0.000 0.000 0.000